No. 1
The following is a DFT calculation (SCAN) of a PBEsol-optimized structure of SrAl2Cl. Values from VASP.

Values from the calculation:
Magnetization, Bohr magnetons per cell: 0.0
Energy above the lowest structure with this stoichiometry, eV per atom: 0.882
Space-group type: Fm-3m (225)
ΔE_f (raw), kJ/mol of formula units: 94
Energy, eV for the cell shown: -44.79

```
&SYSTEM
  ibrav = 0, nat = 4, ntyp = 3
/
ATOMIC_SPECIES
Sr 87.62 Sr.upf
Al 26.98 Al.upf
Cl 35.45 Cl.upf
CELL_PARAMETERS angstrom
0.000 3.757 3.757
3.757 0.000 3.757
3.757 3.757 0.000
ATOMIC_POSITIONS crystal
Sr 0.000 0.000 0.000
Al 0.250 0.250 0.250
Al 0.750 0.750 0.750
Cl 0.500 0.500 0.500
```

No. 2
The following is a DFT calculation (SCAN) of a PBEsol-optimized structure of Sr2AlCl. Values from VASP.

Values from the calculation:
Magnetization, Bohr magnetons per cell: 0.0
Energy above the lowest structure with this stoichiometry, eV per atom: 0.049
Space-group type: R-3m (166)
ΔE_f (raw), kJ/mol of formula units: -382
Energy, eV for the cell shown: -64.23

```
&SYSTEM
  ibrav = 0, nat = 4, ntyp = 3
/
ATOMIC_SPECIES
Sr 87.62 Sr.upf
Al 26.98 Al.upf
Cl 35.45 Cl.upf
CELL_PARAMETERS angstrom
2.104 1.215 8.202
-2.104 1.215 8.202
0.000 -2.429 8.202
ATOMIC_POSITIONS crystal
Sr 0.247 0.247 0.247
Sr 0.753 0.753 0.753
Al 0.000 0.000 0.000
Cl 0.500 0.500 0.500
```

No. 3
The following is a DFT calculation (SCAN) of a PBEsol-optimized structure of SrAlCl3. Values from VASP.

Values from the calculation:
Magnetization, Bohr magnetons per cell: 0.0
Energy above the lowest structure with this stoichiometry, eV per atom: 0.000
Space-group type: Pm-3m (221)
ΔE_f (raw), kJ/mol of formula units: -748
Energy, eV for the cell shown: -61.72

```
&SYSTEM
  ibrav = 0, nat = 5, ntyp = 3
/
ATOMIC_SPECIES
Sr 87.62 Sr.upf
Al 26.98 Al.upf
Cl 35.45 Cl.upf
CELL_PARAMETERS angstrom
5.536 0.000 0.000
0.000 5.536 0.000
0.000 0.000 5.536
ATOMIC_POSITIONS crystal
Sr 0.000 0.000 0.000
Al 0.500 0.500 0.500
Cl 0.000 0.000 0.500
Cl 0.000 0.500 0.000
Cl 0.500 0.000 0.000
```

No. 4
The following is a DFT calculation (SCAN) of a PBEsol-optimized structure of SrAl2Cl8. Values from VASP.

Values from the calculation:
Magnetization, Bohr magnetons per cell: 0.0
Energy above the lowest structure with this stoichiometry, eV per atom: 0.001
Space-group type: Pbca (61)
ΔE_f (raw), kJ/mol of formula units: -2151
Energy, eV for the cell shown: -991.14

```
&SYSTEM
  ibrav = 0, nat = 88, ntyp = 3
/
ATOMIC_SPECIES
Sr 87.62 Sr.upf
Al 26.98 Al.upf
Cl 35.45 Cl.upf
CELL_PARAMETERS angstrom
11.415 0.000 0.000
0.000 19.842 0.000
0.000 0.000 11.545
ATOMIC_POSITIONS crystal
Sr 0.233 0.124 0.009
Sr 0.233 0.376 0.509
Sr 0.267 0.624 0.009
Sr 0.267 0.876 0.509
Sr 0.733 0.124 0.491
Sr 0.733 0.376 0.991
Sr 0.767 0.624 0.491
Sr 0.767 0.876 0.991
Al 0.032 0.738 0.543
Al 0.032 0.762 0.043
Al 0.214 0.001 0.754
Al 0.214 0.499 0.254
Al 0.286 0.501 0.754
Al 0.286 0.999 0.254
Al 0.468 0.238 0.543
Al 0.468 0.262 0.043
Al 0.532 0.738 0.957
Al 0.532 0.762 0.457
Al 0.714 0.001 0.746
Al 0.714 0.499 0.246
Al 0.786 0.501 0.746
Al 0.786 0.999 0.246
Al 0.968 0.238 0.957
Al 0.968 0.262 0.457
Cl 0.001 0.673 0.398
Cl 0.001 0.827 0.898
Cl 0.009 0.657 0.000
Cl 0.009 0.843 0.500
Cl 0.087 0.017 0.888
Cl 0.087 0.483 0.388
Cl 0.095 0.206 0.832
Cl 0.095 0.294 0.332
Cl 0.145 0.005 0.580
Cl 0.145 0.495 0.080
Cl 0.160 0.580 0.783
Cl 0.160 0.920 0.283
Cl 0.209 0.097 0.263
Cl 0.209 0.403 0.763
Cl 0.213 0.735 0.596
Cl 0.213 0.765 0.096
Cl 0.287 0.235 0.596
Cl 0.287 0.265 0.096
Cl 0.291 0.597 0.263
Cl 0.291 0.903 0.763
Cl 0.340 0.080 0.783
Cl 0.340 0.420 0.283
Cl 0.355 0.505 0.580
Cl 0.355 0.995 0.080
Cl 0.405 0.706 0.832
Cl 0.405 0.794 0.332
Cl 0.413 0.517 0.888
Cl 0.413 0.983 0.388
Cl 0.491 0.157 0.000
Cl 0.491 0.343 0.500
Cl 0.499 0.173 0.398
Cl 0.499 0.327 0.898
Cl 0.501 0.673 0.102
Cl 0.501 0.827 0.602
Cl 0.509 0.657 0.500
Cl 0.509 0.843 0.000
Cl 0.587 0.017 0.612
Cl 0.587 0.483 0.112
Cl 0.595 0.206 0.668
Cl 0.595 0.294 0.168
Cl 0.645 0.005 0.920
Cl 0.645 0.495 0.420
Cl 0.660 0.580 0.717
Cl 0.660 0.920 0.217
Cl 0.709 0.097 0.237
Cl 0.709 0.403 0.737
Cl 0.713 0.735 0.904
Cl 0.713 0.765 0.404
Cl 0.787 0.235 0.904
Cl 0.787 0.265 0.404
Cl 0.791 0.597 0.237
Cl 0.791 0.903 0.737
Cl 0.840 0.080 0.717
Cl 0.840 0.420 0.217
Cl 0.855 0.505 0.920
Cl 0.855 0.995 0.420
Cl 0.905 0.706 0.668
Cl 0.905 0.794 0.168
Cl 0.913 0.517 0.612
Cl 0.913 0.983 0.112
Cl 0.991 0.157 0.500
Cl 0.991 0.343 0.000
Cl 0.999 0.173 0.102
Cl 0.999 0.327 0.602
```

No. 5
The following is a DFT calculation (SCAN) of a PBEsol-optimized structure of SrAl2Cl8. Values from VASP.

Values from the calculation:
Magnetization, Bohr magnetons per cell: 0.0
Energy above the lowest structure with this stoichiometry, eV per atom: 0.000
Space-group type: P2/c (13)
ΔE_f (raw), kJ/mol of formula units: -2152
Energy, eV for the cell shown: -247.81

```
&SYSTEM
  ibrav = 0, nat = 22, ntyp = 3
/
ATOMIC_SPECIES
Sr 87.62 Sr.upf
Al 26.98 Al.upf
Cl 35.45 Cl.upf
CELL_PARAMETERS angstrom
7.536 0.000 0.000
0.000 6.925 0.000
-1.172 0.000 12.356
ATOMIC_POSITIONS crystal
Sr 0.000 0.148 0.250
Sr 0.000 0.852 0.750
Al 0.182 0.268 0.926
Al 0.182 0.732 0.426
Al 0.818 0.268 0.574
Al 0.818 0.732 0.074
Cl 0.092 0.187 0.609
Cl 0.092 0.813 0.109
Cl 0.238 0.457 0.357
Cl 0.238 0.543 0.857
Cl 0.253 0.295 0.098
Cl 0.253 0.705 0.598
Cl 0.331 0.040 0.859
Cl 0.331 0.960 0.359
Cl 0.669 0.040 0.641
Cl 0.669 0.960 0.141
Cl 0.747 0.295 0.402
Cl 0.747 0.705 0.902
Cl 0.762 0.457 0.143
Cl 0.762 0.543 0.643
Cl 0.908 0.187 0.891
Cl 0.908 0.813 0.391
```

No. 6
The following is a DFT calculation (SCAN) of a PBEsol-optimized structure of SrAlCl. Values from VASP.

Values from the calculation:
Magnetization, Bohr magnetons per cell: 0.1
Space-group type: I4mm (107)
ΔE_f (raw), kJ/mol of formula units: -223
Energy, eV for the cell shown: -40.32

```
&SYSTEM
  ibrav = 0, nat = 3, ntyp = 3
/
ATOMIC_SPECIES
Sr 87.62 Sr.upf
Al 26.98 Al.upf
Cl 35.45 Cl.upf
CELL_PARAMETERS angstrom
-1.762 1.762 7.817
1.762 -1.762 7.817
1.762 1.762 -7.817
ATOMIC_POSITIONS crystal
Sr 0.000 0.000 0.000
Al 0.650 0.650 0.000
Cl 0.402 0.402 0.000
```

No. 7
The following is a DFT calculation (SCAN) of a PBEsol-optimized structure of SrAl2Cl. Values from VASP.

Values from the calculation:
Magnetization, Bohr magnetons per cell: 0.0
Energy above the lowest structure with this stoichiometry, eV per atom: 0.000
Space-group type: C2/m (12)
ΔE_f (raw), kJ/mol of formula units: -247
Energy, eV for the cell shown: -48.31

```
&SYSTEM
  ibrav = 0, nat = 4, ntyp = 3
/
ATOMIC_SPECIES
Sr 87.62 Sr.upf
Al 26.98 Al.upf
Cl 35.45 Cl.upf
CELL_PARAMETERS angstrom
6.547 -1.814 0.000
6.547 1.814 0.000
-0.316 0.000 4.292
ATOMIC_POSITIONS crystal
Sr 0.000 0.000 0.000
Al 0.257 0.257 0.762
Al 0.743 0.743 0.238
Cl 0.500 0.500 0.500
```

No. 8
The following is a DFT calculation (SCAN) of a PBEsol-optimized structure of SrAl2Cl. Values from VASP.

Values from the calculation:
Magnetization, Bohr magnetons per cell: 0.0
Energy above the lowest structure with this stoichiometry, eV per atom: 0.005
Space-group type: P2/m (10)
ΔE_f (raw), kJ/mol of formula units: -245
Energy, eV for the cell shown: -48.29

```
&SYSTEM
  ibrav = 0, nat = 4, ntyp = 3
/
ATOMIC_SPECIES
Sr 87.62 Sr.upf
Al 26.98 Al.upf
Cl 35.45 Cl.upf
CELL_PARAMETERS angstrom
3.721 0.000 0.000
0.000 6.637 0.000
-0.033 0.000 4.207
ATOMIC_POSITIONS crystal
Sr 0.000 0.000 0.000
Al 0.246 0.500 0.760
Al 0.754 0.500 0.240
Cl 0.500 0.000 0.500
```